(1)
# HoZnH, relaxed, DFT PBE-GGA
# Calculated volume   47 Å³/f.u.
# E_tot   -3.5414 eV per atom
# DOS(E_F)   0.571 states/eV/atom
data_HoZnH
_chemical_formula_sum 'Ho4 Zn4 H4'
_cell_length_a 3.765
_cell_length_b 11.925
_cell_length_c 4.156
_cell_angle_alpha 90.00
_cell_angle_beta 90.00
_cell_angle_gamma 90.00
_symmetry_space_group_name_H-M 'C m c m'
_symmetry_Int_Tables_number 63
_symmetry_space_group_name_Hall '-C 2c 2'
loop_
_atom_site_label
_atom_site_type_symbol
_atom_site_fract_x
_atom_site_fract_y
_atom_site_fract_z
_atom_site_occupancy
Ho1 Ho 0.000 0.160 0.250 1
Zn1 Zn 0.000 0.443 0.250 1
H1 H 0.000 0.241 0.750 1

=====

(2)
# LiIrOs, relaxed, DFT PBE-GGA
# Calculated volume   39 Å³/f.u.
# E_tot   -7.0962 eV per atom
# DOS(E_F)   0.777 states/eV/atom
# Energy of formation from the pure elements   239 meV/atom
data_LiIrOs
_chemical_formula_sum 'Li2 Ir2 Os2'
_cell_length_a 4.2634
_cell_length_b 4.2634
_cell_length_c 4.9989
_cell_angle_alpha 90.00
_cell_angle_beta 90.00
_cell_angle_gamma 120.00
_symmetry_space_group_name_H-M 'P 63/m m c'
_symmetry_Int_Tables_number 194
_symmetry_space_group_name_Hall '-P 6c 2c'
loop_
_atom_site_label
_atom_site_type_symbol
_atom_site_fract_x
_atom_site_fract_y
_atom_site_fract_z
_atom_site_occupancy
Li1 Li 0.3333 0.6667 0.2500 1
Ir1 Ir 0.3333 0.6667 0.7500 1
Os1 Os 0.0000 0.0000 0.0000 1

=====

(3)
# SnBrF, relaxed, DFT PBE-GGA
# Calculated volume   76 Å³/f.u.
# E_tot   -4.0345 eV per atom
# DOS(E_F)   0.000 states/eV/atom
# Formation energy (no corrections)   -1519 meV per atom
data_SnBrF
_chemical_formula_sum 'Sn2 Br2 F2'
_cell_length_a 4.293
_cell_length_b 4.297
_cell_length_c 8.198
_cell_angle_alpha 89.43
_cell_angle_beta 89.48
_cell_angle_gamma 89.49
_symmetry_space_group_name_H-M 'P -1'
_symmetry_Int_Tables_number 2
loop_
_symmetry_equiv_pos_as_xyz
'x,y,z'
'-x,-y,-z'
loop_
_atom_site_label
_atom_site_type_symbol
_atom_site_fract_x
_atom_site_fract_y
_atom_site_fract_z
_atom_site_occupancy
Sn1 Sn 0.161 0.159 0.189 1
Br1 Br 0.255 0.255 0.664 1
F1 F 0.217 0.782 0.000 1

=====

(4)
# Ca2TbDyTe4, relaxed, DFT PBE-GGA
# Calculated volume   245 Å³/f.u.
# E_tot   -4.6840 eV per atom
# DOS(E_F)   0.452 states/eV/atom
# Formation energy (no corrections)   -1459 meV per atom
data_Ca2TbDyTe4
_chemical_formula_sum 'Ca2 Tb1 Dy1 Te4'
_cell_length_a 7.605
_cell_length_b 4.394
_cell_length_c 7.771
_cell_angle_alpha 90.00
_cell_angle_beta 109.11
_cell_angle_gamma 90.00
_symmetry_space_group_name_H-M 'P 1 2/m 1'
_symmetry_Int_Tables_number 10
loop_
_symmetry_equiv_pos_as_xyz
'x,y,z'
'-x,-y,-z'
'-x,y,-z'
'x,-y,z'
loop_
_atom_site_label
_atom_site_type_symbol
_atom_site_fract_x
_atom_site_fract_y
_atom_site_fract_z
_atom_site_occupancy
Ca1 Ca 0.000 0.000 0.000 1
Ca2 Ca 0.500 0.500 0.000 1
Tb1 Tb 0.000 0.500 0.500 1
Dy1 Dy 0.500 0.000 0.500 1
Te1 Te 0.250 0.000 0.746 1
Te2 Te 0.252 0.500 0.255 1